Record 1
The following is a PBE calculation of a relaxed V2PAu crystal, from Alexandria via LeMat-Bulk.

Unit cell a=7.097 b=7.097 c=7.097 alpha=133.95 beta=133.95 gamma=67.16
Element x y z (fractional)
V 0.083 0.625 0.958
V 0.375 0.333 0.458
V 0.667 0.125 0.042
V 0.875 0.917 0.542
P 0.000 0.000 0.000
P 0.750 0.250 0.500
Au 0.250 0.750 0.500
Au 0.500 0.500 0.000

## Properties
Its space group is I-42d (122). As for the total magnetization: 5.41 μB/f.u. As for the crystal system: tetragonal. The formation enthalpy at 0 K comes out at 11.40 kcal/mol of atoms.

---

Record 2
The following is a PBE calculation of a relaxed VPAu3 crystal, from Alexandria via LeMat-Bulk.

Unit cell a=4.896 b=4.896 c=4.896 alpha=90.00 beta=90.00 gamma=90.00
Element x y z (fractional)
V 0.000 0.000 0.000
P 0.500 0.500 0.500
Au 0.000 0.000 0.500
Au 0.000 0.500 0.000
Au 0.500 0.000 0.000

## Properties
Its space group is Pm-3m (221). As for the total magnetization: 2.96 μB/f.u. As for the crystal system: cubic. The calculation puts the energy above the most stable polymorph in this dataset at 71.9 kJ/mol of atoms. The formation enthalpy at 0 K comes out at 29.43 kcal/mol of atoms.

---

Record 3
The following is a PBE calculation of a relaxed VP2Au crystal, from Alexandria via LeMat-Bulk.

Unit cell a=6.685 b=6.685 c=6.685 alpha=131.50 beta=131.50 gamma=71.03
Element x y z (fractional)
V 0.000 0.000 0.000
V 0.750 0.250 0.500
P 0.099 0.625 0.974
P 0.375 0.349 0.474
P 0.651 0.125 0.026
P 0.875 0.901 0.526
Au 0.250 0.750 0.500
Au 0.500 0.500 0.000

## Properties
Its space group is I-42d (122). As for the total magnetization: 0.00 μB/f.u. As for the crystal system: tetragonal. The calculation puts the energy above the most stable polymorph in this dataset at 0.0 kJ/mol of atoms. The formation enthalpy at 0 K comes out at 0.65 kcal/mol of atoms.

---

Record 4
The following is a PBE calculation of a relaxed VP2Au crystal, from Alexandria via LeMat-Bulk.

Unit cell a=4.404 b=4.404 c=4.404 alpha=60.00 beta=60.00 gamma=60.00
Element x y z (fractional)
V 0.000 0.000 0.000
P 0.250 0.250 0.250
P 0.750 0.750 0.750
Au 0.500 0.500 0.500

## Properties
Its space group is Fm-3m (225). As for the total magnetization: 1.22 μB/f.u. As for the crystal system: cubic. The calculation puts the energy above the most stable polymorph in this dataset at 26.7 kJ/mol of atoms. The formation enthalpy at 0 K comes out at 7.04 kcal/mol of atoms.

---

Record 5
The following is a PBE calculation of a relaxed V2P2Au crystal, from Alexandria via LeMat-Bulk.

Unit cell a=6.835 b=6.835 c=2.996 alpha=90.00 beta=90.00 gamma=90.00
Element x y z (fractional)
V 0.141 0.359 0.000
V 0.359 0.859 0.000
V 0.641 0.141 0.000
V 0.859 0.641 0.000
P 0.144 0.644 0.500
P 0.356 0.144 0.500
P 0.644 0.856 0.500
P 0.856 0.356 0.500
Au 0.000 0.000 0.500
Au 0.500 0.500 0.500

## Properties
Its space group is P4/mbm (127). As for the total magnetization: 0.00 μB/f.u. As for the crystal system: tetragonal. The calculation puts the energy above the most stable polymorph in this dataset at 0.0 kJ/mol of atoms. The formation enthalpy at 0 K comes out at -7.96 kcal/mol of atoms.

---

Record 6
The following is a PBE calculation of a relaxed P2WAu crystal, from Alexandria via LeMat-Bulk.

Unit cell a=7.689 b=7.689 c=7.689 alpha=23.41 beta=23.41 gamma=23.41
Element x y z (fractional)
P 0.000 0.000 0.000
P 0.256 0.256 0.256
W 0.516 0.516 0.516
Au 0.747 0.747 0.747

## Properties
Its space group is R3m (160). As for the total magnetization: 0.00 μB/f.u. As for the crystal system: trigonal. The calculation puts the energy above the most stable polymorph in this dataset at 18.2 kJ/mol of atoms. The formation enthalpy at 0 K comes out at 6.12 kcal/mol of atoms.

---

Record 7
The following is a PBE calculation of a relaxed PWAu crystal, from Alexandria via LeMat-Bulk.

Unit cell a=3.010 b=3.010 c=6.369 alpha=90.00 beta=90.00 gamma=120.00
Element x y z (fractional)
P 0.000 0.000 0.000
W 0.667 0.333 0.262
Au 0.333 0.667 0.626

## Properties
Its space group is P3m1 (156). As for the total magnetization: 0.00 μB/f.u. As for the crystal system: trigonal. The calculation puts the energy above the most stable polymorph in this dataset at 1.5 kJ/mol of atoms. The formation enthalpy at 0 K comes out at 4.34 kcal/mol of atoms.

---

Record 8
The following is a PBE calculation of a relaxed P2WAu crystal, from Alexandria via LeMat-Bulk.

Unit cell a=2.777 b=2.777 c=10.116 alpha=90.00 beta=90.00 gamma=110.20
Element x y z (fractional)
P 0.000 0.000 0.190
P 0.000 0.000 0.810
W 0.500 0.500 0.000
Au 0.500 0.500 0.500

## Properties
Its space group is Cmmm (65). As for the total magnetization: 0.00 μB/f.u. As for the crystal system: orthorhombic. The calculation puts the energy above the most stable polymorph in this dataset at 26.9 kJ/mol of atoms. The formation enthalpy at 0 K comes out at 8.19 kcal/mol of atoms.